[1]
! CaCuBr2, optimized geometry, DFT PBE-GGA; values from VASP
&SYSTEM
  ibrav = 0, nat = 8, ntyp = 3
/
ATOMIC_SPECIES
Ca 40.08 Ca.upf
Cu 63.55 Cu.upf
Br 79.90 Br.upf
CELL_PARAMETERS angstrom
5.2459 0.0000 0.0000
0.0000 5.3055 0.0000
0.0000 0.0000 7.9197
ATOMIC_POSITIONS crystal
Ca 0.0000 0.0000 0.0000
Ca 0.5000 0.5000 0.0000
Cu 0.0000 0.5000 0.2485
Cu 0.5000 0.0000 0.2485
Br 0.0000 0.0000 0.3598
Br 0.0000 0.5000 0.8049
Br 0.5000 0.0000 0.8049
Br 0.5000 0.5000 0.3598
! M_tot (μB/cell): 1.5
! Space group: Cmm2 (35)
! Volume (A^3/atom): 27.6
! Total DFT energy (no corrections) (hartree per atom): -0.11475
! Energy relative to the lowest polymorph listed for this composition (meV per atom): 130
! Energy relative to the elements, uncorrected (kcal/mol of atoms): -17.56

=====

[2]
! KCaCuBr5, optimized geometry, DFT PBE-GGA; values from VASP
&SYSTEM
  ibrav = 0, nat = 16, ntyp = 4
/
ATOMIC_SPECIES
K 39.10 K.upf
Ca 40.08 Ca.upf
Cu 63.55 Cu.upf
Br 79.90 Br.upf
CELL_PARAMETERS angstrom
4.4853 -6.4542 0.0000
4.4853 6.4542 0.0000
-4.3046 0.0000 9.5797
ATOMIC_POSITIONS crystal
K 0.1675 0.8325 0.7500
K 0.8325 0.1675 0.2500
Ca 0.5000 0.5000 0.0000
Ca 0.5000 0.5000 0.5000
Cu 0.1731 0.8269 0.2500
Cu 0.8269 0.1731 0.7500
Br 0.1020 0.2036 0.9306
Br 0.2002 0.6260 0.3915
Br 0.2036 0.1020 0.4306
Br 0.3740 0.7998 0.1085
Br 0.4186 0.5814 0.7500
Br 0.5814 0.4186 0.2500
Br 0.6260 0.2002 0.8915
Br 0.7964 0.8980 0.5694
Br 0.7998 0.3740 0.6085
Br 0.8980 0.7964 0.0694
! M_tot (μB/cell): 2.2
! Space group: C2/c (15)
! Volume (A^3/atom): 34.7
! Total DFT energy (no corrections) (hartree per atom): -0.11805
! Energy relative to the elements, uncorrected (kcal/mol of atoms): -29.22

=====

[3]
! KCaCu2Br6, optimized geometry, DFT PBE-GGA; values from VASP
&SYSTEM
  ibrav = 0, nat = 10, ntyp = 4
/
ATOMIC_SPECIES
K 39.10 K.upf
Ca 40.08 Ca.upf
Cu 63.55 Cu.upf
Br 79.90 Br.upf
CELL_PARAMETERS angstrom
3.6227 2.0916 7.7982
-3.6227 2.0916 7.7982
0.0000 -4.1832 7.7982
ATOMIC_POSITIONS crystal
K 0.0000 0.0000 0.0000
Ca 0.5000 0.5000 0.5000
Cu 0.2387 0.2387 0.2387
Cu 0.7613 0.7613 0.7613
Br 0.0934 0.4472 0.7294
Br 0.2706 0.9066 0.5528
Br 0.4472 0.7294 0.0934
Br 0.5528 0.2706 0.9066
Br 0.7294 0.0934 0.4472
Br 0.9066 0.5528 0.2706
! M_tot (μB/cell): 1.1
! Space group: R-3 (148)
! Volume (A^3/atom): 35.5
! Total DFT energy (no corrections) (hartree per atom): -0.11785
! Energy relative to the elements, uncorrected (kcal/mol of atoms): -24.76

=====

[4]
! K2CaCuBr5, optimized geometry, DFT PBE-GGA; values from VASP
&SYSTEM
  ibrav = 0, nat = 18, ntyp = 4
/
ATOMIC_SPECIES
K 39.10 K.upf
Ca 40.08 Ca.upf
Cu 63.55 Cu.upf
Br 79.90 Br.upf
CELL_PARAMETERS angstrom
2.1464 -9.6789 0.0000
2.1464 9.6789 0.0000
0.0000 0.0000 13.8867
ATOMIC_POSITIONS crystal
K 0.1137 0.8863 0.5000
K 0.1199 0.8801 0.1476
K 0.8801 0.1199 0.6476
K 0.8863 0.1137 0.0000
Ca 0.1973 0.8027 0.8369
Ca 0.8027 0.1973 0.3369
Cu 0.4411 0.5589 0.2418
Cu 0.5589 0.4411 0.7418
Br 0.0470 0.9530 0.8320
Br 0.2978 0.7022 0.4805
Br 0.3086 0.6914 0.1909
Br 0.3455 0.6545 0.8256
Br 0.4989 0.5011 0.0876
Br 0.5011 0.4989 0.5876
Br 0.6545 0.3455 0.3256
Br 0.6914 0.3086 0.6909
Br 0.7022 0.2978 0.9805
Br 0.9530 0.0470 0.3320
! M_tot (μB/cell): 0.0
! Space group: Cmc2_1 (36)
! Volume (A^3/atom): 32.1
! Total DFT energy (no corrections) (hartree per atom): -0.12394
! Energy relative to the elements, uncorrected (kcal/mol of atoms): -35.09

=====

[5]
! K2CaCuBr6, optimized geometry, DFT PBE-GGA; values from VASP
&SYSTEM
  ibrav = 0, nat = 20, ntyp = 4
/
ATOMIC_SPECIES
K 39.10 K.upf
Ca 40.08 Ca.upf
Cu 63.55 Cu.upf
Br 79.90 Br.upf
CELL_PARAMETERS angstrom
7.5432 0.0000 0.0000
0.0000 8.0235 0.0000
-7.2925 0.0000 10.4232
ATOMIC_POSITIONS crystal
K 0.2257 0.0771 0.2495
K 0.2257 0.4229 0.7495
K 0.7743 0.5771 0.2505
K 0.7743 0.9229 0.7505
Ca 0.0000 0.0000 0.5000
Ca 0.0000 0.5000 0.0000
Cu 0.5000 0.0000 0.0000
Cu 0.5000 0.5000 0.5000
Br 0.1765 0.1845 0.9595
Br 0.1765 0.3155 0.4595
Br 0.2528 0.6974 0.9517
Br 0.2528 0.8026 0.4517
Br 0.3646 0.0164 0.7726
Br 0.3646 0.4836 0.2726
Br 0.6354 0.5164 0.7274
Br 0.6354 0.9836 0.2274
Br 0.7472 0.1974 0.5483
Br 0.7472 0.3026 0.0483
Br 0.8235 0.6845 0.5405
Br 0.8235 0.8155 0.0405
! M_tot (μB/cell): 2.1
! Space group: P2_1/c (14)
! Volume (A^3/atom): 31.5
! Total DFT energy (no corrections) (hartree per atom): -0.11657
! Energy relative to the elements, uncorrected (kcal/mol of atoms): -30.88

=====

[6]
! KCaCu2Br, optimized geometry, DFT PBE-GGA; values from VASP
&SYSTEM
  ibrav = 0, nat = 5, ntyp = 4
/
ATOMIC_SPECIES
K 39.10 K.upf
Ca 40.08 Ca.upf
Cu 63.55 Cu.upf
Br 79.90 Br.upf
CELL_PARAMETERS angstrom
5.2537 0.0000 0.0000
0.0000 5.2537 0.0000
0.0000 0.0000 10.2107
ATOMIC_POSITIONS crystal
K 0.0000 0.0000 0.0000
Ca 0.0000 0.0000 0.5000
Cu 0.0000 0.5000 0.5000
Cu 0.5000 0.0000 0.5000
Br 0.5000 0.5000 0.0000
! M_tot (μB/cell): 0.0
! Space group: P4/mmm (123)
! Volume (A^3/atom): 56.4
! Total DFT energy (no corrections) (hartree per atom): -0.08677
! Energy relative to the elements, uncorrected (kcal/mol of atoms): 5.34

=====

[7]
! KCa3Cu4Br12, optimized geometry, DFT PBE-GGA; values from VASP
&SYSTEM
  ibrav = 0, nat = 20, ntyp = 4
/
ATOMIC_SPECIES
K 39.10 K.upf
Ca 40.08 Ca.upf
Cu 63.55 Cu.upf
Br 79.90 Br.upf
CELL_PARAMETERS angstrom
7.3888 4.2659 3.6818
-7.3888 4.2659 3.6818
0.0000 -8.5319 3.6818
ATOMIC_POSITIONS crystal
K 0.0000 0.0000 0.0000
Ca 0.0000 0.5585 0.4415
Ca 0.4415 0.0000 0.5585
Ca 0.5585 0.4415 0.0000
Cu 0.0713 0.5000 0.9287
Cu 0.5000 0.5000 0.5000
Cu 0.5000 0.9287 0.0713
Cu 0.9287 0.0712 0.5000
Br 0.0194 0.6520 0.7713
Br 0.0942 0.9058 0.5000
Br 0.2287 0.3480 0.9806
Br 0.3406 0.6594 0.5000
Br 0.3480 0.9806 0.2287
Br 0.5000 0.0942 0.9058
Br 0.5000 0.3406 0.6594
Br 0.6520 0.7713 0.0194
Br 0.6594 0.5000 0.3406
Br 0.7713 0.0194 0.6520
Br 0.9058 0.5000 0.0942
Br 0.9806 0.2287 0.3480
! M_tot (μB/cell): 1.2
! Space group: R32 (155)
! Volume (A^3/atom): 34.8
! Total DFT energy (no corrections) (hartree per atom): -0.12330
! Energy relative to the elements, uncorrected (kcal/mol of atoms): -27.15

=====

[8]
! K2CaCu2Br6, optimized geometry, DFT PBE-GGA; values from VASP
&SYSTEM
  ibrav = 0, nat = 11, ntyp = 4
/
ATOMIC_SPECIES
K 39.10 K.upf
Ca 40.08 Ca.upf
Cu 63.55 Cu.upf
Br 79.90 Br.upf
CELL_PARAMETERS angstrom
6.6983 -3.9003 0.0000
6.6983 3.9003 0.0000
-4.1042 0.0000 6.8174
ATOMIC_POSITIONS crystal
K 0.2333 0.2333 0.2016
K 0.7667 0.7667 0.7984
Ca 0.0000 0.0000 0.5000
Cu 0.4537 0.4537 0.7974
Cu 0.5463 0.5463 0.2026
Br 0.1879 0.6904 0.1883
Br 0.2460 0.2460 0.6259
Br 0.3096 0.8121 0.8117
Br 0.6904 0.1879 0.1883
Br 0.7540 0.7540 0.3741
Br 0.8121 0.3096 0.8117
! M_tot (μB/cell): 0.1
! Space group: C2/m (12)
! Volume (A^3/atom): 32.4
! Total DFT energy (no corrections) (hartree per atom): -0.12107
! Energy relative to the elements, uncorrected (kcal/mol of atoms): -28.96

=====

[9]
! Na2CaCuBr5, optimized geometry, DFT PBE-GGA; values from VASP
&SYSTEM
  ibrav = 0, nat = 18, ntyp = 4
/
ATOMIC_SPECIES
Na 22.99 Na.upf
Ca 40.08 Ca.upf
Cu 63.55 Cu.upf
Br 79.90 Br.upf
CELL_PARAMETERS angstrom
2.0713 -9.4026 0.0000
2.0713 9.4026 0.0000
0.0000 0.0000 13.3922
ATOMIC_POSITIONS crystal
Na 0.0799 0.9201 0.5000
Na 0.1117 0.8883 0.1851
Na 0.8883 0.1117 0.6851
Na 0.9201 0.0799 0.0000
Ca 0.2034 0.7966 0.8802
Ca 0.7966 0.2034 0.3802
Cu 0.4294 0.5706 0.2686
Cu 0.5706 0.4294 0.7686
Br 0.0482 0.9518 0.8656
Br 0.2997 0.7003 0.2283
Br 0.2999 0.7001 0.5307
Br 0.3588 0.6412 0.8603
Br 0.5000 0.5000 0.1163
Br 0.5000 0.5000 0.6163
Br 0.6412 0.3588 0.3603
Br 0.7001 0.2999 0.0307
Br 0.7003 0.2997 0.7283
Br 0.9518 0.0482 0.3656
! M_tot (μB/cell): 0.0
! Space group: Cmc2_1 (36)
! Volume (A^3/atom): 29.0
! Total DFT energy (no corrections) (hartree per atom): -0.12131
! Energy relative to the elements, uncorrected (kcal/mol of atoms): -32.31

=====

[10]
! Ca2Nb3CuBrO10, optimized geometry, DFT PBE-GGA; values from VASP
&SYSTEM
  ibrav = 0, nat = 17, ntyp = 5
/
ATOMIC_SPECIES
Ca 40.08 Ca.upf
Nb 92.91 Nb.upf
Cu 63.55 Cu.upf
Br 79.90 Br.upf
O 16.00 O.upf
CELL_PARAMETERS angstrom
3.9657 0.0000 0.0000
0.0000 3.9657 0.0000
0.0000 0.0000 15.8090
ATOMIC_POSITIONS crystal
Ca 0.0000 0.0000 0.1452
Ca 0.0000 0.0000 0.8548
Nb 0.5000 0.5000 0.0000
Nb 0.5000 0.5000 0.2690
Nb 0.5000 0.5000 0.7310
Cu 0.5000 0.5000 0.5000
Br 0.0000 0.0000 0.5000
O 0.0000 0.5000 0.0000
O 0.0000 0.5000 0.2417
O 0.0000 0.5000 0.7583
O 0.5000 0.0000 0.0000
O 0.5000 0.0000 0.2417
O 0.5000 0.0000 0.7583
O 0.5000 0.5000 0.1251
O 0.5000 0.5000 0.3832
O 0.5000 0.5000 0.6168
O 0.5000 0.5000 0.8749
! M_tot (μB/cell): 0.5
! Space group: P4/mmm (123)
! Volume (A^3/atom): 14.6
! Total DFT energy (no corrections) (hartree per atom): -0.28089
! Energy relative to the elements, uncorrected (kcal/mol of atoms): -54.77

=====

[11]
! Ca2CuBr2O2, optimized geometry, DFT PBE-GGA; values from VASP
&SYSTEM
  ibrav = 0, nat = 14, ntyp = 4
/
ATOMIC_SPECIES
Ca 40.08 Ca.upf
Cu 63.55 Cu.upf
Br 79.90 Br.upf
O 16.00 O.upf
CELL_PARAMETERS angstrom
3.8820 0.0000 0.0000
0.0000 3.8820 0.0000
0.0000 0.0000 18.6043
ATOMIC_POSITIONS crystal
Ca 0.0000 0.0000 0.0844
Ca 0.0000 0.0000 0.9156
Ca 0.5000 0.5000 0.4156
Ca 0.5000 0.5000 0.5844
Cu 0.0000 0.0000 0.5000
Cu 0.5000 0.5000 0.0000
Br 0.0000 0.0000 0.3376
Br 0.0000 0.0000 0.6624
Br 0.5000 0.5000 0.1624
Br 0.5000 0.5000 0.8376
O 0.0000 0.5000 0.0000
O 0.0000 0.5000 0.5000
O 0.5000 0.0000 0.0000
O 0.5000 0.0000 0.5000
! M_tot (μB/cell): 0.0
! Space group: I4/mmm (139)
! Volume (A^3/atom): 20.0
! Total DFT energy (no corrections) (hartree per atom): -0.18203
! Energy relative to the elements, uncorrected (kcal/mol of atoms): -43.85

=====

[12]
! Ca2Ta3CuBrO10, optimized geometry, DFT PBE-GGA; values from VASP
&SYSTEM
  ibrav = 0, nat = 17, ntyp = 5
/
ATOMIC_SPECIES
Ca 40.08 Ca.upf
Ta 180.95 Ta.upf
Cu 63.55 Cu.upf
Br 79.90 Br.upf
O 16.00 O.upf
CELL_PARAMETERS angstrom
3.9456 0.0000 0.0000
0.0000 3.9456 0.0000
0.0000 0.0000 15.7617
ATOMIC_POSITIONS crystal
Ca 0.0000 0.0000 0.1455
Ca 0.0000 0.0000 0.8545
Ta 0.5000 0.5000 0.0000
Ta 0.5000 0.5000 0.2685
Ta 0.5000 0.5000 0.7315
Cu 0.5000 0.5000 0.5000
Br 0.0000 0.0000 0.5000
O 0.0000 0.5000 0.0000
O 0.0000 0.5000 0.2420
O 0.0000 0.5000 0.7580
O 0.5000 0.0000 0.0000
O 0.5000 0.0000 0.2420
O 0.5000 0.0000 0.7580
O 0.5000 0.5000 0.1249
O 0.5000 0.5000 0.3826
O 0.5000 0.5000 0.6174
O 0.5000 0.5000 0.8751
! M_tot (μB/cell): 0.5
! Space group: P4/mmm (123)
! Volume (A^3/atom): 14.4
! Total DFT energy (no corrections) (hartree per atom): -0.29963
! Energy relative to the elements, uncorrected (kcal/mol of atoms): -59.27